# SmLu2Cu (PBE, optimized geometry)
# Energy above the most stable polymorph in this dataset   0.000 eV per atom
# Energy   -4.584 eV per atom
# ΔH_f (0 K)   -120 meV/atom
# DOS at the Fermi energy   1.210 states/eV/atom
data_SmLu2Cu
_chemical_formula_sum 'Sm1 Lu2 Cu1'
_cell_length_a 3.428
_cell_length_b 3.428
_cell_length_c 8.701
_cell_angle_alpha 90.00
_cell_angle_beta 90.00
_cell_angle_gamma 90.00
_space_group_name_H-M_alt 'P 4/m m m'
_space_group_IT_number 123
_space_group_name_Hall '-P 4 2'
loop_
_atom_site_label
_atom_site_type_symbol
_atom_site_fract_x
_atom_site_fract_y
_atom_site_fract_z
Sm1 Sm 0.000 0.000 0.000
Lu1 Lu 0.500 0.500 0.308
Cu1 Cu 0.000 0.000 0.500


# Mg2ScAu8 (PBE, optimized geometry)
# Energy above the most stable polymorph in this dataset   0.111 eV per atom
# Energy   -3.629 eV per atom
# ΔH_f (0 K)   -380 meV/atom
# DOS at the Fermi energy   0.396 states/eV/atom
data_Mg2ScAu8
_chemical_formula_sum 'Mg4 Sc2 Au16'
_cell_length_a 8.616
_cell_length_b 11.417
_cell_length_c 4.242
_cell_angle_alpha 90.00
_cell_angle_beta 90.40
_cell_angle_gamma 90.00
_space_group_name_H-M_alt 'C 1 2/m 1'
_space_group_IT_number 12
loop_
_space_group_symop_operation_xyz
'x,y,z'
'-x,-y,-z'
'-x,y,-z'
'x,-y,z'
'x+1/2,y+1/2,z'
'-x+1/2,-y+1/2,-z'
'-x+1/2,y+1/2,-z'
'x+1/2,-y+1/2,z'
loop_
_atom_site_label
_atom_site_type_symbol
_atom_site_fract_x
_atom_site_fract_y
_atom_site_fract_z
Mg1 Mg 0.000 0.126 0.000
Sc1 Sc 0.000 0.500 0.500
Au1 Au 0.000 0.258 0.500
Au2 Au 0.163 0.000 0.500
Au3 Au 0.173 0.369 0.001


# Ta2TcAs (PBE, optimized geometry)
# Energy   -9.691 eV per atom
# ΔH_f (0 K)   -11 meV/atom
# DOS at the Fermi energy   1.040 states/eV/atom
data_Ta2TcAs
_chemical_formula_sum 'Ta4 Tc2 As2'
_cell_length_a 4.153
_cell_length_b 4.153
_cell_length_c 7.673
_cell_angle_alpha 90.00
_cell_angle_beta 90.00
_cell_angle_gamma 90.00
_space_group_name_H-M_alt 'I 4/m m m'
_space_group_IT_number 139
_space_group_name_Hall '-I 4 2'
loop_
_atom_site_label
_atom_site_type_symbol
_atom_site_fract_x
_atom_site_fract_y
_atom_site_fract_z
Ta1 Ta 0.000 0.500 0.250
Tc1 Tc 0.000 0.000 0.000
As1 As 0.000 0.000 0.500


# Sr3Pr3DyTe8 (PBE, optimized geometry)
# Energy   -4.828 eV per atom
# Formation energy (no corrections)   -35.82 kcal/mol of atoms
# DOS at the Fermi energy   0.339 states/eV/atom
data_Sr3Pr3DyTe8
_chemical_formula_sum 'Sr9 Pr9 Dy3 Te24'
_cell_length_a 9.0911
_cell_length_b 9.0911
_cell_length_c 23.1440
_cell_angle_alpha 90.00
_cell_angle_beta 90.00
_cell_angle_gamma 120.00
_space_group_name_H-M_alt 'R -3 m'
_space_group_IT_number 166
_space_group_name_Hall '-R 3 2"'
loop_
_atom_site_label
_atom_site_type_symbol
_atom_site_fract_x
_atom_site_fract_y
_atom_site_fract_z
Sr1 Sr 0.0000 0.5000 0.0000
Pr1 Pr 0.0000 0.5000 0.5000
Dy1 Dy 0.0000 0.0000 0.5000
Te1 Te 0.0000 0.0000 0.2476
Te2 Te 0.0066 0.5033 0.2449


# KZn2H (PBE, optimized geometry)
# Energy above the most stable polymorph in this dataset   0.000 eV per atom
# Energy   -1.466 eV per atom
# DOS at the Fermi energy   0.184 states/eV/atom
data_KZn2H
_chemical_formula_sum 'K4 Zn8 H4'
_cell_length_a 6.218
_cell_length_b 6.218
_cell_length_c 8.835
_cell_angle_alpha 90.00
_cell_angle_beta 90.00
_cell_angle_gamma 90.00
_space_group_name_H-M_alt 'I 41/a m d'
_space_group_IT_number 141
loop_
_space_group_symop_operation_xyz
'x,y,z'
'-x,-y,-z'
'-y+1/4,x+3/4,z+1/4'
'y+1/4,-x+3/4,-z+1/4'
'-x+1/2,-y,z+1/2'
'x+1/2,y,-z+1/2'
'y+1/4,-x+1/4,z+3/4'
'-y+1/4,x+1/4,-z+3/4'
'x,-y,-z'
'-x,y,z'
'-y+1/4,-x+1/4,-z+3/4'
'y+1/4,x+1/4,z+3/4'
'-x+1/2,y,-z+1/2'
'x+1/2,-y,z+1/2'
'y+1/4,x+3/4,-z+1/4'
'-y+1/4,-x+3/4,z+1/4'
'x+1/2,y+1/2,z+1/2'
'-x+1/2,-y+1/2,-z+1/2'
'-y+3/4,x+1/4,z+3/4'
'y+3/4,-x+1/4,-z+3/4'
'-x,-y+1/2,z'
'x,y+1/2,-z'
'y+3/4,-x+3/4,z+1/4'
'-y+3/4,x+3/4,-z+1/4'
'x+1/2,-y+1/2,-z+1/2'
'-x+1/2,y+1/2,z+1/2'
'-y+3/4,-x+3/4,-z+1/4'
'y+3/4,x+3/4,z+1/4'
'-x,y+1/2,-z'
'x,-y+1/2,z'
'y+3/4,x+1/4,-z+3/4'
'-y+3/4,-x+1/4,z+3/4'
loop_
_atom_site_label
_atom_site_type_symbol
_atom_site_fract_x
_atom_site_fract_y
_atom_site_fract_z
K1 K 0.000 0.250 0.375
Zn1 Zn 0.000 0.000 0.000
H1 H 0.000 0.250 0.875


# AlIBr2 (PBE, optimized geometry)
# Energy above the most stable polymorph in this dataset   0.589 eV per atom
# Energy   -2.490 eV per atom
# Formation energy (no corrections)   -7.61 kcal/mol of atoms
# DOS at the Fermi energy   1.051 states/eV/atom
data_AlIBr2
_chemical_formula_sum 'Al3 I3 Br6'
_cell_length_a 3.7312
_cell_length_b 3.7312
_cell_length_c 33.1933
_cell_angle_alpha 90.00
_cell_angle_beta 90.00
_cell_angle_gamma 120.00
_space_group_name_H-M_alt 'R -3 m'
_space_group_IT_number 166
_space_group_name_Hall '-R 3 2"'
loop_
_atom_site_label
_atom_site_type_symbol
_atom_site_fract_x
_atom_site_fract_y
_atom_site_fract_z
Al1 Al 0.0000 0.0000 0.0000
I1 I 0.0000 0.0000 0.5000
Br1 Br 0.0000 0.0000 0.3808


# AgWC3 (PBE, optimized geometry)
# Energy above the most stable polymorph in this dataset   1.630 eV per atom
# Energy   -5.204 eV per atom
# ΔH_f (0 K)   3491 meV/atom
# DOS at the Fermi energy   0.798 states/eV/atom
data_AgWC3
_chemical_formula_sum 'Ag1 W1 C3'
_cell_length_a 3.982
_cell_length_b 3.982
_cell_length_c 3.982
_cell_angle_alpha 90.00
_cell_angle_beta 90.00
_cell_angle_gamma 90.00
_space_group_name_H-M_alt 'P m -3 m'
_space_group_IT_number 221
_space_group_name_Hall '-P 4 2 3'
loop_
_atom_site_label
_atom_site_type_symbol
_atom_site_fract_x
_atom_site_fract_y
_atom_site_fract_z
Ag1 Ag 0.000 0.000 0.000
W1 W 0.500 0.500 0.500
C1 C 0.000 0.000 0.500


# Ca2LaYF (PBE, optimized geometry)
# Energy   -4.404 eV per atom
# Formation energy (no corrections)   -21.93 kcal/mol of atoms
# DOS at the Fermi energy   1.123 states/eV/atom
data_Ca2LaYF
_chemical_formula_sum 'Ca2 La1 Y1 F1'
_cell_length_a 4.975
_cell_length_b 4.975
_cell_length_c 5.878
_cell_angle_alpha 90.00
_cell_angle_beta 90.00
_cell_angle_gamma 90.00
_space_group_name_H-M_alt 'P 4/m m m'
_space_group_IT_number 123
_space_group_name_Hall '-P 4 2'
loop_
_atom_site_label
_atom_site_type_symbol
_atom_site_fract_x
_atom_site_fract_y
_atom_site_fract_z
Ca1 Ca 0.000 0.500 0.000
La1 La 0.000 0.000 0.500
Y1 Y 0.500 0.500 0.500
F1 F 0.000 0.000 0.000


# YMnTl2 (PBE, optimized geometry)
# Energy   -5.013 eV per atom
# ΔH_f (0 K)   79 meV/atom
# DOS at the Fermi energy   0.806 states/eV/atom
data_YMnTl2
_chemical_formula_sum 'Y1 Mn1 Tl2'
_cell_length_a 3.578
_cell_length_b 3.578
_cell_length_c 7.374
_cell_angle_alpha 90.00
_cell_angle_beta 90.00
_cell_angle_gamma 90.00
_space_group_name_H-M_alt 'P 4/m m m'
_space_group_IT_number 123
_space_group_name_Hall '-P 4 2'
loop_
_atom_site_label
_atom_site_type_symbol
_atom_site_fract_x
_atom_site_fract_y
_atom_site_fract_z
Y1 Y 0.000 0.000 0.000
Mn1 Mn 0.000 0.000 0.500
Tl1 Tl 0.500 0.500 0.280


# BaScTe2I (PBE, optimized geometry)
# Energy above the most stable polymorph in this dataset   0.000 eV per atom
# Energy   -4.505 eV per atom
# Formation energy (no corrections)   -29.68 kcal/mol of atoms
# DOS at the Fermi energy   0.071 states/eV/atom
data_BaScTe2I
_chemical_formula_sum 'Ba1 Sc1 Te2 I1'
_cell_length_a 5.705
_cell_length_b 5.705
_cell_length_c 5.694
_cell_angle_alpha 90.00
_cell_angle_beta 90.00
_cell_angle_gamma 90.00
_space_group_name_H-M_alt 'P 4/m m m'
_space_group_IT_number 123
_space_group_name_Hall '-P 4 2'
loop_
_atom_site_label
_atom_site_type_symbol
_atom_site_fract_x
_atom_site_fract_y
_atom_site_fract_z
Ba1 Ba 0.000 0.000 0.000
Sc1 Sc 0.500 0.500 0.500
Te1 Te 0.000 0.500 0.500
I1 I 0.500 0.500 0.000


# MgIr4Pb (PBE, optimized geometry)
# Energy   -6.637 eV per atom
# ΔH_f (0 K)   154 meV/atom
# DOS at the Fermi energy   1.708 states/eV/atom
data_MgIr4Pb
_chemical_formula_sum 'Mg4 Ir16 Pb4'
_cell_length_a 7.531
_cell_length_b 7.531
_cell_length_c 7.531
_cell_angle_alpha 90.00
_cell_angle_beta 90.00
_cell_angle_gamma 90.00
_space_group_name_H-M_alt 'F -4 3 m'
_space_group_IT_number 216
_space_group_name_Hall 'F -4 2 3'
loop_
_atom_site_label
_atom_site_type_symbol
_atom_site_fract_x
_atom_site_fract_y
_atom_site_fract_z
Mg1 Mg 0.000 0.000 0.000
Ir1 Ir 0.125 0.125 0.375
Pb1 Pb 0.250 0.250 0.750


# PtRh2W (PBE, optimized geometry)
# Energy above the most stable polymorph in this dataset   0.055 eV per atom
# Energy   -8.613 eV per atom
# ΔH_f (0 K)   -189 meV/atom
# DOS at the Fermi energy   1.300 states/eV/atom
data_PtRh2W
_chemical_formula_sum 'Pt1 Rh2 W1'
_cell_length_a 2.745
_cell_length_b 3.948
_cell_length_c 5.501
_cell_angle_alpha 90.00
_cell_angle_beta 90.00
_cell_angle_gamma 90.00
_space_group_name_H-M_alt 'P m m 2'
_space_group_IT_number 25
loop_
_space_group_symop_operation_xyz
'x,y,z'
'-x,-y,z'
'-x,y,z'
'x,-y,z'
loop_
_atom_site_label
_atom_site_type_symbol
_atom_site_fract_x
_atom_site_fract_y
_atom_site_fract_z
Pt1 Pt 0.000 0.000 0.000
Rh1 Rh 0.000 0.000 0.505
Rh2 Rh 0.500 0.500 0.259
W1 W 0.500 0.500 0.740


# Tb4Tm9Cd11 (PBE, optimized geometry)
# Energy   -3.091 eV per atom
# ΔH_f (0 K)   -223 meV/atom
# DOS at the Fermi energy   1.102 states/eV/atom
data_Tb4Tm9Cd11
_chemical_formula_sum 'Tb8 Tm18 Cd22'
_cell_length_a 15.951
_cell_length_b 22.539
_cell_length_c 3.475
_cell_angle_alpha 90.00
_cell_angle_beta 90.00
_cell_angle_gamma 90.00
_space_group_name_H-M_alt 'C m m m'
_space_group_IT_number 65
_space_group_name_Hall '-C 2 2'
loop_
_atom_site_label
_atom_site_type_symbol
_atom_site_fract_x
_atom_site_fract_y
_atom_site_fract_z
Tb1 Tb 0.167 0.083 0.000
Tm1 Tm 0.000 0.000 0.000
Tm2 Tm 0.111 0.405 0.000
Tm3 Tm 0.114 0.231 0.000
Cd1 Cd 0.000 0.130 0.500
Cd2 Cd 0.000 0.317 0.500
Cd3 Cd 0.000 0.500 0.500
Cd4 Cd 0.208 0.500 0.500
Cd5 Cd 0.230 0.318 0.500